Entry from Alexandria: crystalline HfPaIr4 at its relaxed geometry (GGA-PBE).

Properties
Its total magnetic moment is 0.000 μB/atom. The mass density is 18513 kg/m³. Its calculated formation energy is -692.2 meV/atom. The calculation puts the total energy at -9.84 eV/atom.

a = 5.307 Å, b = 5.307 Å, c = 5.307 Å
α = 60.00°, β = 60.00°, γ = 60.00°
Atoms (fractional coordinates):
1 Hf 0.000 0.000 0.000
2 Pa 0.250 0.250 0.250
3 Ir 0.123 0.626 0.626
4 Ir 0.626 0.123 0.626
5 Ir 0.626 0.626 0.123
6 Ir 0.626 0.626 0.626


Entry from Alexandria: crystalline SiOsSe2 at its relaxed geometry (GGA-PBE).

Properties
Its total magnetic moment is 0.000 μB/atom. As for the formation energy (no corrections): 0.6102 eV per atom. The mass density is 9144 kg/m³. The calculation puts the total energy at -5.30 eV/atom.

a = 5.873 Å, b = 5.873 Å, c = 3.209 Å
α = 105.69°, β = 105.69°, γ = 128.20°
Atoms (fractional coordinates):
1 Si 0.000 0.000 0.000
2 Os 0.500 0.500 0.000
3 Se 0.000 0.500 0.000
4 Se 0.500 0.000 0.000


Entry from Alexandria: crystalline HoAs2P2Pd7 at its relaxed geometry (GGA-PBE).

Properties
Its total magnetic moment is 0.000 μB/atom. The mass density is 9085 kg/m³. Its calculated formation energy is -399.0 meV/atom. The calculation puts the total energy at -5.49 eV/atom.

a = 4.100 Å, b = 4.100 Å, c = 12.305 Å
α = 95.45°, β = 95.45°, γ = 89.10°
Atoms (fractional coordinates):
1 Ho 0.000 0.000 0.000
2 As 0.048 0.048 0.343
3 As 0.952 0.952 0.657
4 P 0.427 0.427 0.718
5 P 0.573 0.573 0.282
6 Pd 0.050 0.553 0.174
7 Pd 0.269 0.269 0.530
8 Pd 0.447 0.950 0.826
9 Pd 0.500 0.500 0.000
10 Pd 0.553 0.050 0.174
11 Pd 0.731 0.731 0.470
12 Pd 0.950 0.447 0.826